First-principles (PBE-GGA) data for a geometry-optimized AcDySi4 structure, as listed in Alexandria.

a = 4.267 Å, b = 7.667 Å, c = 16.130 Å
α = 90.00°, β = 90.00°, γ = 90.00°
Atoms (fractional coordinates):
Ac  0.000  0.630  0.341
Ac  0.000  0.370  0.659
Ac  0.000  0.130  0.159
Ac  0.000  0.870  0.841
Dy  0.000  0.635  0.087
Dy  0.000  0.365  0.913
Dy  0.000  0.135  0.413
Dy  0.000  0.865  0.587
Si  0.500  0.791  0.195
Si  0.500  0.209  0.805
Si  0.500  0.291  0.305
Si  0.500  0.709  0.695
Si  0.500  0.885  0.050
Si  0.500  0.115  0.950
Si  0.500  0.385  0.450
Si  0.500  0.615  0.550
Si  0.500  0.867  0.456
Si  0.500  0.133  0.544
Si  0.500  0.367  0.044
Si  0.500  0.633  0.956
Si  0.500  0.977  0.310
Si  0.500  0.023  0.690
Si  0.500  0.477  0.190
Si  0.500  0.523  0.810

Results
DOS at the Fermi energy (states/eV/f.u.): 2.38
Uncorrected energy (eV per atom): -5.571
E_form (uncorrected) (eV per atom): -0.504
Magnetization (μB per atom): 0.000